Record 1
## AlHg2Bi (PBE-GGA)

Data for a relaxed AlHg2Bi crystal.

E_form   0.8 eV/f.u.
VASP energy   -29.58 eV/cell
Offset from the most stable computed form   74.4 meV per atom
Mass density   10.316 g cm⁻³

Unit cell a=7.4303 b=7.4303 c=7.4303 alpha=90.00 beta=90.00 gamma=90.00
Space group Fm-3m (No. 225)
Inequivalent atoms, fractional coordinates:
Al 0.0000 0.0000 0.0000 [4 per cell]
Hg 0.2500 0.2500 0.2500 [8 per cell]
Bi 0.0000 0.0000 0.5000 [4 per cell]

---

Record 2
## AlInHgBi (PBE-GGA)

Data for a relaxed AlInHgBi crystal.

E_form   0.5 eV/f.u.
VASP energy   -40.51 eV/cell
Mass density   8.659 g cm⁻³

Unit cell a=7.5062 b=7.5062 c=7.5062 alpha=90.00 beta=90.00 gamma=90.00
Space group F-43m (No. 216)
Inequivalent atoms, fractional coordinates:
Al 0.0000 0.0000 0.0000 [4 per cell]
In 0.0000 0.0000 0.5000 [4 per cell]
Hg 0.2500 0.2500 0.2500 [4 per cell]
Bi 0.2500 0.2500 0.7500 [4 per cell]

---

Record 3
## KAlHg2Bi (PBE-GGA)

Data for a relaxed KAlHg2Bi crystal.

E_form   -0.2 eV/f.u.
VASP energy   -9.56 eV/cell
Mass density   6.825 g cm⁻³

Unit cell a=5.4062 b=5.4062 c=5.6295 alpha=90.00 beta=90.00 gamma=90.00
Space group P4/mmm (No. 123)
Inequivalent atoms, fractional coordinates:
K 0.0000 0.0000 0.0000 [1 per cell]
Al 0.5000 0.5000 0.5000 [1 per cell]
Hg 0.0000 0.5000 0.5000 [2 per cell]
Bi 0.5000 0.5000 0.0000 [1 per cell]

---

Record 4
## MgAlHgBi (PBE-GGA)

Data for a relaxed MgAlHgBi crystal.

E_form   0.2 eV/f.u.
VASP energy   -37.34 eV/cell
Mass density   7.721 g cm⁻³

Unit cell a=7.3463 b=7.3463 c=7.3463 alpha=90.00 beta=90.00 gamma=90.00
Space group F-43m (No. 216)
Inequivalent atoms, fractional coordinates:
Mg 0.0000 0.0000 0.0000 [4 per cell]
Al 0.0000 0.0000 0.5000 [4 per cell]
Hg 0.2500 0.2500 0.7500 [4 per cell]
Bi 0.2500 0.2500 0.2500 [4 per cell]

---

Record 5
## NaAlHgBi (PBE-GGA)

Data for a relaxed NaAlHgBi crystal.

E_form   0.0 eV/f.u.
VASP energy   -37.17 eV/cell
Mass density   7.545 g cm⁻³

Unit cell a=7.3960 b=7.3960 c=7.3960 alpha=90.00 beta=90.00 gamma=90.00
Space group F-43m (No. 216)
Inequivalent atoms, fractional coordinates:
Na 0.0000 0.0000 0.0000 [4 per cell]
Al 0.0000 0.0000 0.5000 [4 per cell]
Hg 0.2500 0.2500 0.7500 [4 per cell]
Bi 0.2500 0.2500 0.2500 [4 per cell]

---

Record 6
## AlHgBi2Os (PBE-GGA)

Data for a relaxed AlHgBi2Os crystal.

E_form   7.2 eV/f.u.
VASP energy   -15.88 eV/cell
Mass density   9.690 g cm⁻³

Unit cell a=5.4220 b=5.4220 c=4.8718 alpha=90.00 beta=90.00 gamma=90.00
Space group P4/mmm (No. 123)
Inequivalent atoms, fractional coordinates:
Al 0.0000 0.0000 0.0000 [1 per cell]
Hg 0.0000 0.0000 0.5000 [1 per cell]
Bi 0.0000 0.5000 0.0000 [2 per cell]
Os 0.5000 0.5000 0.5000 [1 per cell]

---

- VASP energy of number 3 (KAlHg2Bi)?
  -9.56 eV/cell